A relaxed NaPm2Sc crystal, computed with GGA-PBE.

Summary:
Its offset from the most stable computed form is 10.9 meV/atom. The total moment is 0.00 μB/atom. For the theoretical density, the calculation gives 4.5 g cm⁻³. As for the space-group type: No. 166.

```
4
Lattice="-2.4725 -1.3810 -2.0197 -0.2390 -3.4534 -0.3415 -8.6702 -2.0433 9.0158" Properties=species:S:1:pos:R:3 pbc="T T T"
Na 0.0000 0.0000 0.0000
Sc -5.6908 -3.4389 3.3273
Pm -4.9123 -4.9568 0.4167
Pm -6.4694 -1.9210 6.2379
```

***

A relaxed Na4PmSc3Se8 crystal, computed with GGA-PBE.

Summary:
The total moment is 0.00 μB/atom. For the theoretical density, the calculation gives 4.3 g cm⁻³. The value obtained for the formation energy (no corrections) is -1600 meV per atom. As for the space-group type: No. 12.

```
16
Lattice="-2.5183 7.3492 -2.1246 -5.8070 -0.2432 6.0420 7.7114 -1.1942 1.9942" Properties=species:S:1:pos:R:3 pbc="T T T"
Se -0.9819 1.0609 4.8337
Se -2.3363 4.6848 3.7091
Se 0.3680 4.8509 1.0779
Se -3.2989 5.4146 0.1169
Se 1.4877 3.9911 4.7846
Se 2.6850 0.4971 5.7947
Se 1.7224 1.2269 2.2025
Se -2.1016 1.9207 1.1270
Na -1.2592 3.6746 -1.0623
Na 3.8557 -0.5971 0.9971
Na 0.0000 0.0000 0.0000
Na 2.5965 3.0775 -0.0652
Sc -0.3069 2.9559 2.9558
Sc 0.9522 -0.7187 4.0181
Sc -4.1627 3.5530 1.9587
Pm -2.9035 -0.1216 3.0210
```

***

A relaxed NaPmSc4Se8 crystal, computed with GGA-PBE.

Summary:
The total moment is 0.00 μB/atom. For the theoretical density, the calculation gives 4.2 g cm⁻³. The value obtained for the formation energy (no corrections) is -1618 meV per atom. As for the space-group type: No. 160.

```
14
Lattice="-4.5256 -3.2712 5.8048 3.2081 -1.5276 7.2286 -2.2418 4.6621 6.4678" Properties=species:S:1:pos:R:3 pbc="T T T"
Se -0.2479 1.3317 11.7338
Se -4.3273 0.4120 10.9828
Se -3.2283 -1.5426 7.7904
Se -0.9653 0.2279 4.9642
Se 0.7208 -0.6523 8.5174
Se -1.5901 -2.3227 11.4815
Se -1.9401 2.1375 7.9208
Se -2.6239 -0.2609 14.5722
Sc 0.3905 1.6054 6.7974
Sc -1.0881 -2.4706 8.9360
Sc -1.1421 2.3352 3.3442
Sc -3.3041 0.7725 6.1172
Na -2.4922 2.4067 10.5899
Pm -2.2216 4.5921 6.4440
```